Density functional theory data (GGA-PBE) for an optimized crystal structure of BiPd3Ru.

Results
Energy relative to the elements = 4.6 eV per formula unit
Polymorph energy (0 for the lowest one) = 0 meV/atom
VASP energy = -4.83 eV/atom

Cell: 4.8339 4.8339 4.8339 Å, 90.00 90.00 90.00°
Closest atoms and distances in Å follow each position.
Positions (direct):
Bi 0.0000 0.0000 0.0000  12 Pd 3.42
Pd 0.0000 0.5000 0.5000  2 Ru 2.42
Pd 0.5000 0.0000 0.5000  2 Ru 2.42
Pd 0.5000 0.5000 0.0000  2 Ru 2.42
Ru 0.5000 0.5000 0.5000  6 Pd 2.42